PBE BaY, optimized geometry; E_tot = -3.95 eV/atom; D(E_F) = 1.71 states/eV/atom; density = 4331 kg/m3; space group = Cm (8); energy above the lowest structure with this stoichiometry = 0.085 eV/atom; formation enthalpy at 0 K = 5.635 kcal/mol of atoms
1.0
7.468 -1.976 0.000
7.468 1.976 0.000
-2.316 0.000 8.815
Ba Y
3 3
direct
0.000 0.000 0.000
0.051 0.051 0.603
0.369 0.369 0.274
0.309 0.309 0.667
0.673 0.673 0.345
0.721 0.721 0.931

PBE Ac9Ni3Pt, optimized geometry; E_tot = -4.88 eV/atom; D(E_F) = 1.19 states/eV/atom; density = 8432 kg/m3; space group = P2_1/m (11); formation enthalpy at 0 K = -5.550 kcal/mol of atoms
1.0
7.113 0.000 0.000
0.000 11.250 0.000
-1.301 0.000 11.882
Ac Ni Pt
18 6 2
direct
0.106 0.250 0.192
0.148 0.577 0.381
0.148 0.923 0.381
0.222 0.250 0.864
0.261 0.572 0.041
0.261 0.928 0.041
0.354 0.250 0.528
0.366 0.578 0.714
0.366 0.922 0.714
0.634 0.078 0.286
0.634 0.422 0.286
0.646 0.750 0.472
0.739 0.072 0.959
0.739 0.428 0.959
0.778 0.750 0.136
0.852 0.077 0.619
0.852 0.423 0.619
0.894 0.750 0.808
0.051 0.004 0.831
0.051 0.496 0.831
0.500 0.000 0.500
0.500 0.500 0.500
0.949 0.504 0.169
0.949 0.996 0.169
0.483 0.250 0.085
0.517 0.750 0.915

PBE KAsHBr2, optimized geometry; E_tot = -2.77 eV/atom; D(E_F) = 0.47 states/eV/atom; density = 4003 kg/m3; space group = P4/mmm (123); energy above the lowest structure with this stoichiometry = 0.000 eV/atom
1.0
5.623 0.000 0.000
0.000 5.623 0.000
0.000 0.000 3.606
K As H Br
1 1 1 2
direct
0.000 0.000 0.000
0.500 0.500 0.000
0.500 0.500 0.500
0.000 0.500 0.500
0.500 0.000 0.500

PBE K3PrCl6, optimized geometry; E_tot = -4.03 eV/atom; D(E_F) = 0.00 states/eV/atom; density = 2310 kg/m3; space group = P2_1/c (14); E_form (uncorrected) = -21.16 eV/f.u.
1.0
7.650 0.000 0.000
0.000 8.089 0.000
-7.371 0.000 10.939
K Pr Cl
6 2 12
direct
0.000 0.000 0.000
0.000 0.500 0.500
0.211 0.072 0.740
0.211 0.428 0.240
0.789 0.572 0.760
0.789 0.928 0.260
0.500 0.000 0.500
0.500 0.500 0.000
0.150 0.184 0.439
0.150 0.316 0.939
0.244 0.720 0.417
0.244 0.780 0.917
0.406 0.065 0.268
0.406 0.435 0.768
0.594 0.565 0.232
0.594 0.935 0.732
0.756 0.220 0.083
0.756 0.280 0.583
0.850 0.684 0.061
0.850 0.816 0.561

PBE Ac2BePPd6, optimized geometry; E_tot = -5.59 eV/atom; D(E_F) = 0.48 states/eV/atom; density = 9657 kg/m3; space group = P-1 (2); formation enthalpy at 0 K = -16.937 kcal/mol of atoms
1.0
6.140 0.000 0.000
3.060 5.337 0.000
3.064 1.737 5.943
Ac Be P Pd
2 1 1 6
direct
0.232 0.233 0.305
0.768 0.767 0.695
0.000 0.000 0.000
0.500 0.500 0.500
0.242 0.241 0.806
0.242 0.705 0.810
0.291 0.759 0.193
0.709 0.241 0.807
0.758 0.295 0.190
0.758 0.759 0.194

PBE KSi2Pd, optimized geometry; E_tot = -4.29 eV/atom; D(E_F) = 0.74 states/eV/atom; density = 2956 kg/m3; space group = R-3m (166); energy above the lowest structure with this stoichiometry = 0.010 eV/atom; E_form (uncorrected) = -0.02 eV/f.u.
1.0
2.081 1.202 7.550
-2.081 1.202 7.550
0.000 -2.403 7.550
K Si Pd
1 2 1
direct
0.000 0.000 0.000
0.140 0.140 0.140
0.860 0.860 0.860
0.500 0.500 0.500

PBE In2AsS4, optimized geometry; E_tot = -4.07 eV/atom; density = 3854 kg/m3; space group = I4/m (87); E_form (uncorrected) = -1.86 eV/f.u.
1.0
-3.705 3.705 3.397
3.705 -3.705 3.397
3.705 3.705 -3.397
In As S
2 1 4
direct
0.250 0.750 0.500
0.750 0.250 0.500
0.000 0.000 0.000
0.165 0.311 0.476
0.311 0.835 0.146
0.689 0.165 0.854
0.835 0.689 0.524

PBE SrSb2TeIr, optimized geometry; E_tot = -2.73 eV/atom; D(E_F) = 1.66 states/eV/atom; density = 5238 kg/m3; space group = P4/mmm (123); energy above the lowest structure with this stoichiometry = 1.837 eV/atom; E_form (uncorrected) = 8.30 eV/f.u.
1.0
5.939 0.000 0.000
0.000 5.939 0.000
0.000 0.000 5.850
Sr Sb Te Ir
1 2 1 1
direct
0.000 0.000 0.000
0.000 0.500 0.000
0.500 0.000 0.000
0.000 0.000 0.500
0.500 0.500 0.500

PBE Nd2Si4Pd3Au, optimized geometry; E_tot = -5.85 eV/atom; D(E_F) = 0.40 states/eV/atom; density = 8307 kg/m3; space group = P-4m2 (115); E_form (uncorrected) = -8.38 eV/f.u.
1.0
4.275 0.000 0.000
0.000 4.275 0.000
0.000 0.000 10.032
Nd Si Pd Au
2 4 3 1
direct
0.000 0.500 0.244
0.500 0.000 0.756
0.000 0.000 0.000
0.000 0.500 0.639
0.500 0.000 0.361
0.500 0.500 0.000
0.000 0.500 0.881
0.500 0.000 0.119
0.500 0.500 0.500
0.000 0.000 0.500

PBE BaLaMo2, optimized geometry; E_tot = -6.03 eV/atom; D(E_F) = 1.75 states/eV/atom; density = 8215 kg/m3; space group = I-4m2 (119); energy above the lowest structure with this stoichiometry = 0.618 eV/atom; formation enthalpy at 0 K = 25.421 kcal/mol of atoms
1.0
-2.549 2.549 3.641
2.549 -2.549 3.641
2.549 2.549 -3.641
Ba La Mo
1 1 2
direct
0.000 0.000 0.000
0.250 0.750 0.500
0.500 0.500 0.000
0.750 0.250 0.500

Which formula does entry 7 have?
In2AsS4